(1)
Density functional theory data (PBE) for a relaxed structure of BeTe3Ir.

The structure in CIF format:
```
data_BeTe3Ir
_chemical_formula_sum 'Be1 Te3 Ir1'
_cell_length_a 4.773
_cell_length_b 4.773
_cell_length_c 4.773
_cell_angle_alpha 90.00
_cell_angle_beta 90.00
_cell_angle_gamma 90.00
_space_group_name_H-M_alt 'P m -3 m'
_space_group_IT_number 221
_space_group_name_Hall '-P 4 2 3'
loop_
_atom_site_label
_atom_site_type_symbol
_atom_site_fract_x
_atom_site_fract_y
_atom_site_fract_z
Be1 Be 0.000 0.000 0.000
Te1 Te 0.000 0.000 0.500
Ir1 Ir 0.500 0.500 0.500
```

Results
Fermi-level density of states in states/eV per cell: 4.5
Calculated total energy in eV/atom: -3.470

---

(2)
Density functional theory data (PBE) for a relaxed structure of Ho2TmAs3.

The structure in CIF format:
```
data_Ho2TmAs3
_chemical_formula_sum 'Ho4 Tm2 As6'
_cell_length_a 4.087
_cell_length_b 4.087
_cell_length_c 17.345
_cell_angle_alpha 90.00
_cell_angle_beta 90.00
_cell_angle_gamma 90.00
_space_group_name_H-M_alt 'I 4/m m m'
_space_group_IT_number 139
_space_group_name_Hall '-I 4 2'
loop_
_atom_site_label
_atom_site_type_symbol
_atom_site_fract_x
_atom_site_fract_y
_atom_site_fract_z
Ho1 Ho 0.000 0.000 0.167
Tm1 Tm 0.000 0.000 0.500
As1 As 0.000 0.000 0.000
As2 As 0.000 0.000 0.334
```

Results
ΔE_f in eV/f.u.: -9.13
Fermi-level density of states in states/eV per cell: 1.5

---

(3)
Density functional theory data (PBE) for a relaxed structure of Er8ZnAs3Se4.

The structure in CIF format:
```
data_Er8ZnAs3Se4
_chemical_formula_sum 'Er24 Zn3 As9 Se12'
_cell_length_a 8.1177
_cell_length_b 8.1177
_cell_length_c 20.0167
_cell_angle_alpha 90.00
_cell_angle_beta 90.00
_cell_angle_gamma 120.00
_space_group_name_H-M_alt 'R -3 m'
_space_group_IT_number 166
_space_group_name_Hall '-R 3 2"'
loop_
_atom_site_label
_atom_site_type_symbol
_atom_site_fract_x
_atom_site_fract_y
_atom_site_fract_z
Er1 Er 0.0000 0.0000 0.2455
Er2 Er 0.0018 0.5009 0.2468
Zn1 Zn 0.0000 0.0000 0.5000
As1 As 0.0000 0.5000 0.5000
Se1 Se 0.0000 0.0000 0.0000
Se2 Se 0.0000 0.5000 0.0000
```

Results
Fermi-level density of states in states/eV per cell: 18.4
Calculated total energy in eV/atom: -5.593

---

(4)
Density functional theory data (PBE) for a relaxed structure of NiPtPb.

The structure in CIF format:
```
data_NiPtPb
_chemical_formula_sum 'Ni1 Pt1 Pb1'
_cell_length_a 4.0661
_cell_length_b 4.0661
_cell_length_c 3.9499
_cell_angle_alpha 90.00
_cell_angle_beta 90.00
_cell_angle_gamma 120.00
_space_group_name_H-M_alt 'P 3 m 1'
_space_group_IT_number 156
loop_
_space_group_symop_operation_xyz
'x,y,z'
'-y,x-y,z'
'-x+y,-x,z'
'-y,-x,z'
'-x+y,y,z'
'x,x-y,z'
loop_
_atom_site_label
_atom_site_type_symbol
_atom_site_fract_x
_atom_site_fract_y
_atom_site_fract_z
Ni1 Ni 0.0000 0.0000 0.0000
Pt1 Pt 0.3333 0.6667 0.7994
Pb1 Pb 0.6667 0.3333 0.3722
```

Results
ΔE_f in eV/f.u.: 0.40
Fermi-level density of states in states/eV per cell: 2.2

---

Look up the Fermi-level density of states of the third one. 18.4 states/eV per cell

---

Which value of Fermi-level density of states does entry 2 give? 1.5 states/eV per cell

---

Repeat the second record exactly.
Density functional theory data (PBE) for a relaxed structure of Ho2TmAs3.

The structure in CIF format:
```
data_Ho2TmAs3
_chemical_formula_sum 'Ho4 Tm2 As6'
_cell_length_a 4.087
_cell_length_b 4.087
_cell_length_c 17.345
_cell_angle_alpha 90.00
_cell_angle_beta 90.00
_cell_angle_gamma 90.00
_space_group_name_H-M_alt 'I 4/m m m'
_space_group_IT_number 139
_space_group_name_Hall '-I 4 2'
loop_
_atom_site_label
_atom_site_type_symbol
_atom_site_fract_x
_atom_site_fract_y
_atom_site_fract_z
Ho1 Ho 0.000 0.000 0.167
Tm1 Tm 0.000 0.000 0.500
As1 As 0.000 0.000 0.000
As2 As 0.000 0.000 0.334
```

Results
ΔE_f in eV/f.u.: -9.13
Fermi-level density of states in states/eV per cell: 1.5

---

What is the Fermi-level density of states in the first record? 4.5 states/eV per cell